Record 1
# Pm2Sm3Pd2

Pm2Sm3Pd2 after structural relaxation (PBE, Alexandria via LeMat-Bulk).

- formation enthalpy at 0 K (kJ/mol of formula units) = -319

a b c (Å): 3.8266 6.5801 9.2222
angles (deg): 114.94 90.00 106.90
Atoms (fractional coordinates):
1 Sm 0.5000 0.0000 0.0000
2 Sm 0.6151 0.2302 0.4410
3 Sm 0.3849 0.7698 0.5590
4 Pm 0.1565 0.3130 0.8115
5 Pm 0.8435 0.6869 0.1885
6 Pd 0.8335 0.6670 0.7664
7 Pd 0.1665 0.3330 0.2336

Record 2
# Pm12SmPd6

Pm12SmPd6 after structural relaxation (PBE, Alexandria via LeMat-Bulk).

- formation enthalpy at 0 K (kJ/mol of formula units) = -801

a b c (Å): 9.0711 9.0711 9.0711
angles (deg): 110.31 110.31 110.31
Atoms (fractional coordinates):
1 Pd 0.1566 0.5150 0.1569
2 Pd 0.8434 0.4850 0.8431
3 Pd 0.8431 0.8434 0.4850
4 Pd 0.5150 0.1569 0.1566
5 Pd 0.4850 0.8431 0.8434
6 Pd 0.1569 0.1566 0.5150
7 Pm 0.2499 0.7500 0.0000
8 Pm 0.8299 0.5489 0.5485
9 Pm 0.0000 0.7501 0.2500
10 Pm 0.5485 0.8299 0.5489
11 Pm 0.1701 0.4511 0.4515
12 Pm 0.7500 0.0000 0.2499
13 Pm 0.5489 0.5485 0.8299
14 Pm 0.7501 0.2500 0.0000
15 Pm 0.4511 0.4515 0.1701
16 Pm 0.4515 0.1701 0.4511
17 Pm 0.0000 0.2499 0.7500
18 Pm 0.2500 0.0000 0.7501
19 Sm 0.0000 0.0000 0.0000

Record 3
# PmSm4Pd2

PmSm4Pd2 after structural relaxation (PBE, Alexandria via LeMat-Bulk).

- energy relative to the lowest polymorph listed for this composition (meV per atom) = 0
- formation enthalpy at 0 K (kJ/mol of formula units) = -286

a b c (Å): 7.1130 7.4491 8.1709
angles (deg): 108.29 98.53 91.60
Atoms (fractional coordinates):
1 Pd 0.1935 0.5772 0.5667
2 Pd 0.8065 0.4228 0.4333
3 Pd 0.7159 0.7893 0.0109
4 Pd 0.2841 0.2107 0.9891
5 Sm 0.9808 0.6567 0.2422
6 Sm 0.3500 0.9536 0.6297
7 Sm 0.6500 0.0464 0.3703
8 Sm 0.5282 0.4512 0.7259
9 Sm 0.8689 0.8201 0.6891
10 Sm 0.0192 0.3433 0.7578
11 Sm 0.1311 0.1799 0.3109
12 Sm 0.4718 0.5488 0.2741
13 Pm 0.2959 0.8193 0.9880
14 Pm 0.7041 0.1807 0.0120

no.,calculated volume (Å³/cell)
1,199.4
2,556.1
3,405.2